(1)
An optimized crystal structure of Zn2SiBr. Source: Alexandria, functional PBE-GGA.

Lattice parameters (Å, degrees): 3.389 3.204 7.100 90.00 90.00 90.00
Sites, in units of the cell vectors:
Zn: 0.000 0.000 0.541
Zn: 0.000 0.000 0.959
Br: 0.500 0.500 0.250
Si: 0.500 0.500 0.750

Formation energy from raw total energies: 22.6 kJ per mole of atoms
Excess energy over the best structure of this formula in the dataset: 0.84 eV per formula unit
Space group: Pmmm, No. 47
Crystal system: orthorhombic
Size of the total moment: 0.000 μB/atom
E: -2.177 eV per atom

---

(2)
An optimized crystal structure of Zn2SiBr. Source: Alexandria, functional PBE-GGA.

Lattice parameters (Å, degrees): 3.115 4.683 5.535 90.00 90.00 90.00
Sites, in units of the cell vectors:
Br: 0.500 0.000 0.500
Si: 0.000 0.500 0.500
Zn: 0.500 0.500 0.000
Zn: 0.000 0.000 0.000

Formation energy from raw total energies: 41.4 kJ per mole of atoms
Excess energy over the best structure of this formula in the dataset: 1.62 eV per formula unit
Space group: Pmmm, No. 47
Crystal system: orthorhombic
Size of the total moment: 0.000 μB/atom
E: -1.982 eV per atom

---

(3)
An optimized crystal structure of Zn2SiBr. Source: Alexandria, functional PBE-GGA.

Lattice parameters (Å, degrees): 5.004 5.004 3.050 90.00 90.00 89.98
Sites, in units of the cell vectors:
Si: 0.000 0.500 0.500
Br: 0.500 0.000 0.500
Zn: 0.500 0.500 0.000
Zn: 0.000 0.000 0.000

Formation energy from raw total energies: 33.1 kJ per mole of atoms
Excess energy over the best structure of this formula in the dataset: 1.28 eV per formula unit
Space group: P4/mmm, No. 123
Crystal system: tetragonal
Size of the total moment: 0.000 μB/atom
E: -2.068 eV per atom

---

(4)
An optimized crystal structure of Zn2SiBr. Source: Alexandria, functional PBE-GGA.

Lattice parameters (Å, degrees): 6.094 6.094 6.094 43.87 43.87 43.87
Sites, in units of the cell vectors:
Zn: 0.335 0.335 0.335
Zn: 0.996 0.996 0.996
Si: 0.658 0.658 0.658
Br: 0.511 0.511 0.511

Formation energy from raw total energies: 4.3 kJ per mole of atoms
Excess energy over the best structure of this formula in the dataset: 0.08 eV per formula unit
Space group: R3m, No. 160
Crystal system: trigonal
Size of the total moment: 0.000 μB/atom
E: -2.367 eV per atom

---

(5)
An optimized crystal structure of ZnSiBr. Source: Alexandria, functional PBE-GGA.

Lattice parameters (Å, degrees): 3.696 3.696 5.436 90.00 90.00 120.00
Sites, in units of the cell vectors:
Br: 0.000 0.000 0.984
Si: 0.667 0.333 0.378
Zn: 0.333 0.667 0.638

Formation energy from raw total energies: 30.7 kJ per mole of atoms
Excess energy over the best structure of this formula in the dataset: 0.81 eV per formula unit
Space group: P3m1, No. 156
Crystal system: trigonal
Size of the total moment: 0.000 μB/atom
E: -2.472 eV per atom

---

(6)
An optimized crystal structure of Zn2SiBr. Source: Alexandria, functional PBE-GGA.

Lattice parameters (Å, degrees): 4.871 3.608 4.870 90.05 90.00 90.00
Sites, in units of the cell vectors:
Si: 0.500 0.000 0.873
Br: 0.000 0.500 0.375
Zn: 0.500 0.127 0.373
Zn: 0.000 0.873 0.879

Formation energy from raw total energies: 9.7 kJ per mole of atoms
Excess energy over the best structure of this formula in the dataset: 0.31 eV per formula unit
Space group: Pm, No. 6
Crystal system: monoclinic
Size of the total moment: 0.000 μB/atom
E: -2.311 eV per atom

---

(7)
An optimized crystal structure of Zn2SiBr. Source: Alexandria, functional PBE-GGA.

Lattice parameters (Å, degrees): 4.818 4.818 4.818 60.00 60.00 60.00
Sites, in units of the cell vectors:
Zn: 0.750 0.750 0.750
Zn: 0.250 0.250 0.250
Br: 0.500 0.500 0.500
Si: 0.000 0.000 0.000

Formation energy from raw total energies: 53.8 kJ per mole of atoms
Excess energy over the best structure of this formula in the dataset: 2.14 eV per formula unit
Space group: Fm-3m, No. 225
Crystal system: cubic
Size of the total moment: 0.000 μB/atom
E: -1.854 eV per atom

---

(8)
An optimized crystal structure of Zn2SiBr. Source: Alexandria, functional PBE-GGA.

Lattice parameters (Å, degrees): 5.990 5.990 7.167 65.30 65.30 90.00
Site moments in Bohr magnetons follow the coordinates.
Sites, in units of the cell vectors:
Zn: 0.875 0.825 0.750  0.06
Zn: 0.175 0.625 0.250  0.08
Zn: 0.375 0.425 0.750  0.08
Zn: 0.575 0.125 0.250  0.07
Br: 0.000 0.000 0.000  0.04
Br: 0.750 0.250 0.500  0.04
Si: 0.500 0.500 0.000  0.21
Si: 0.250 0.750 0.500  0.21

Formation energy from raw total energies: 4.3 kJ per mole of atoms
Excess energy over the best structure of this formula in the dataset: 0.09 eV per formula unit
Space group: I-42d, No. 122
Crystal system: tetragonal
Size of the total moment: 0.213 μB/atom
E: -2.366 eV per atom

---

(9)
An optimized crystal structure of ZnSiBr4. Source: Alexandria, functional PBE-GGA.

Lattice parameters (Å, degrees): 6.249 6.249 6.249 60.00 60.00 60.00
Sites, in units of the cell vectors:
Br: 0.375 0.375 0.875
Br: 0.375 0.375 0.375
Br: 0.875 0.375 0.375
Br: 0.375 0.875 0.375
Si: 0.750 0.750 0.750
Zn: 0.000 0.000 0.000

Formation energy from raw total energies: 82.6 kJ per mole of atoms
Space group: F-43m, No. 216
Crystal system: cubic
Size of the total moment: 0.000 μB/atom
E: -1.375 eV per atom

---

(10)
An optimized crystal structure of Zn2SiBr. Source: Alexandria, functional PBE-GGA.

Lattice parameters (Å, degrees): 5.041 5.041 5.041 126.94 126.94 78.34
Sites, in units of the cell vectors:
Zn: 0.500 0.500 0.000
Zn: 0.000 0.000 0.000
Si: 0.750 0.250 0.500
Br: 0.250 0.750 0.500

Formation energy from raw total energies: 52.1 kJ per mole of atoms
Excess energy over the best structure of this formula in the dataset: 2.07 eV per formula unit
Space group: I4/mmm, No. 139
Crystal system: tetragonal
Size of the total moment: 0.000 μB/atom
E: -1.871 eV per atom

---

(11)
An optimized crystal structure of Zn3SiBr. Source: Alexandria, functional PBE-GGA.

Lattice parameters (Å, degrees): 4.859 4.859 4.859 90.00 90.00 90.00
Sites, in units of the cell vectors:
Zn: 0.000 0.000 0.500
Zn: 0.500 0.000 0.000
Zn: 0.000 0.500 0.000
Br: 0.500 0.500 0.500
Si: 0.000 0.000 0.000

Formation energy from raw total energies: 3.8 kJ per mole of atoms
Excess energy over the best structure of this formula in the dataset: 0.00 eV per formula unit
Space group: Pm-3m, No. 221
Crystal system: cubic
Size of the total moment: 0.000 μB/atom
E: -2.144 eV per atom

---

(12)
An optimized crystal structure of ZnSiBr. Source: Alexandria, functional PBE-GGA.

Lattice parameters (Å, degrees): 4.741 4.741 4.741 60.00 60.00 60.00
Site moments in Bohr magnetons follow the coordinates.
Sites, in units of the cell vectors:
Zn: 0.000 0.000 0.000  0.04
Br: 0.500 0.500 0.500  0.05
Si: 0.750 0.750 0.750  0.13

Formation energy from raw total energies: 57.0 kJ per mole of atoms
Excess energy over the best structure of this formula in the dataset: 1.63 eV per formula unit
Space group: F-43m, No. 216
Crystal system: cubic
Size of the total moment: 0.187 μB/atom
E: -2.200 eV per atom

---

(13)
An optimized crystal structure of Zn2SiBr. Source: Alexandria, functional PBE-GGA.

Lattice parameters (Å, degrees): 5.848 5.848 5.848 147.80 127.74 62.72
Sites, in units of the cell vectors:
Zn: 0.019 0.019 0.000
Zn: 0.220 0.720 0.500
Si: 0.811 0.311 0.500
Br: 0.450 0.450 0.000

Formation energy from raw total energies: 32.8 kJ per mole of atoms
Excess energy over the best structure of this formula in the dataset: 1.27 eV per formula unit
Space group: Imm2, No. 44
Crystal system: orthorhombic
Size of the total moment: 0.000 μB/atom
E: -2.071 eV per atom

---

(14)
An optimized crystal structure of Zn2SiBr. Source: Alexandria, functional PBE-GGA.

Lattice parameters (Å, degrees): 3.397 3.397 7.528 90.00 90.00 111.71
Sites, in units of the cell vectors:
Br: 0.500 0.500 0.250
Zn: 0.000 0.000 0.971
Zn: 0.000 0.000 0.529
Si: 0.500 0.500 0.750

Formation energy from raw total energies: 17.3 kJ per mole of atoms
Excess energy over the best structure of this formula in the dataset: 0.62 eV per formula unit
Space group: Cmmm, No. 65
Crystal system: orthorhombic
Size of the total moment: 0.000 μB/atom
E: -2.232 eV per atom

---

(15)
An optimized crystal structure of Zn2SiBr. Source: Alexandria, functional PBE-GGA.

Lattice parameters (Å, degrees): 6.389 6.389 6.389 145.38 145.38 49.77
Sites, in units of the cell vectors:
Si: 0.750 0.250 0.500
Zn: 0.250 0.750 0.500
Zn: 0.000 0.000 0.000
Br: 0.500 0.500 0.000

Formation energy from raw total energies: 41.1 kJ per mole of atoms
Excess energy over the best structure of this formula in the dataset: 1.61 eV per formula unit
Space group: I-4m2, No. 119
Crystal system: tetragonal
Size of the total moment: 0.000 μB/atom
E: -1.985 eV per atom